DFT (GGA+U) results for a geometry-optimized NaCoAgO3 structure.

## Properties
* uncorrected energy: -4.627 eV per atom

Geometry as CIF:
```
data_NaCoAgO3
_chemical_formula_sum 'Na4 Co4 Ag4 O12'
_space_group_name_H-M_alt 'P 1'
_space_group_IT_number 1
_space_group_name_Hall 'P 1'
_cell_length_a 11.282
_cell_length_b 2.857
_cell_length_c 8.703
_cell_angle_alpha 90.00
_cell_angle_beta 90.00
_cell_angle_gamma 90.00
loop_
_atom_site_label
_atom_site_type_symbol
_atom_site_fract_x
_atom_site_fract_y
_atom_site_fract_z
Na1 Na 0.244 0.250 0.137
Na2 Na 0.256 0.750 0.637
Na3 Na 0.744 0.250 0.363
Na4 Na 0.756 0.750 0.863
Co1 Co 0.032 0.750 0.857
Co2 Co 0.468 0.250 0.357
Co3 Co 0.532 0.750 0.643
Co4 Co 0.968 0.250 0.143
Ag1 Ag 0.069 0.750 0.392
Ag2 Ag 0.431 0.250 0.892
Ag3 Ag 0.569 0.750 0.108
Ag4 Ag 0.931 0.250 0.608
O1 O 0.074 0.750 0.085
O2 O 0.106 0.250 0.754
O3 O 0.203 0.250 0.418
O4 O 0.297 0.750 0.918
O5 O 0.394 0.750 0.254
O6 O 0.426 0.250 0.585
O7 O 0.574 0.750 0.415
O8 O 0.606 0.250 0.746
O9 O 0.703 0.250 0.082
O10 O 0.797 0.750 0.582
O11 O 0.894 0.750 0.246
O12 O 0.926 0.250 0.915
```